Record 1
# PBE-GGA Hg2Ir, optimized geometry
# SG = C2/m, No. 12
# ΔH_f (0 K) = 0.34 eV per atom
data_Hg2Ir
_symmetry_space_group_name_H-M 'P 1'
_symmetry_Int_Tables_number 1
_cell_length_a 5.3231
_cell_length_b 5.3231
_cell_length_c 10.5166
_cell_angle_alpha 116.03
_cell_angle_beta 116.03
_cell_angle_gamma 32.13
loop_
_symmetry_equiv_pos_as_xyz
'x,y,z'
loop_
_atom_site_label
_atom_site_type_symbol
_atom_site_fract_x
_atom_site_fract_y
_atom_site_fract_z
Hg1 Hg 0.0405 0.0405 0.1446
Hg2 Hg 0.1203 0.1203 0.6585
Hg3 Hg 0.8797 0.8797 0.3415
Hg4 Hg 0.9595 0.9595 0.8554
Ir1 Ir 0.3557 0.3557 0.5932
Ir2 Ir 0.6443 0.6443 0.4068

Record 2
# PBE-GGA DyYTe2O8, optimized geometry
# SG = I-4m2, No. 119
# Raw formation energy = -1.94 eV/atom
data_DyYTe2O8
_symmetry_space_group_name_H-M 'P 1'
_symmetry_Int_Tables_number 1
_cell_length_a 6.2383
_cell_length_b 6.2383
_cell_length_c 6.2383
_cell_angle_alpha 107.62
_cell_angle_beta 107.62
_cell_angle_gamma 113.24
loop_
_symmetry_equiv_pos_as_xyz
'x,y,z'
loop_
_atom_site_label
_atom_site_type_symbol
_atom_site_fract_x
_atom_site_fract_y
_atom_site_fract_z
Dy1 Dy 0.0000 0.0000 0.0000
Y1 Y 0.7500 0.2500 0.5000
Te1 Te 0.2500 0.7500 0.5000
Te2 Te 0.5000 0.5000 0.0000
O1 O 0.0488 0.3630 0.3141
O2 O 0.0488 0.7347 0.6859
O3 O 0.1116 0.2970 0.8146
O4 O 0.2653 0.9512 0.3141
O5 O 0.4825 0.2970 0.1854
O6 O 0.6370 0.9512 0.6859
O7 O 0.7030 0.5175 0.8146
O8 O 0.7030 0.8884 0.1854

Question: Which formula does entry 2 have?
Answer: DyYTe2O8